No. 1
Density functional theory data (meta-GGA SCAN) for a crystal of WSe2S relaxed with PBEsol.

Cell: 6.3762 6.3762 9.0494 Å, 90.00 90.00 90.00°
Closest atoms and distances in Å follow each position.
Space group I-42d (No. 122)
Unique sites:
W (0.0000, 0.0000, 0.0000)  4 Se 2.39
Se (0.2146, 0.2500, 0.1250)  2 W 2.39, 2 S 2.67
S (0.0000, 0.0000, 0.5000)  4 Se 2.67

Magnetic moment in μB/cell: 0.00
Crystal system: tetragonal
ΔE_f (raw) in meV/atom: 655
E_tot in eV per atom: -29.213

No. 2
Density functional theory data (meta-GGA SCAN) for a crystal of BaLu2CoO5 relaxed with PBEsol.

Cell: 11.8333 5.4893 6.8723 Å, 90.00 90.00 90.00°
Closest atoms and distances in Å follow each position.
Space group Pnma (No. 62)
Unique sites:
Ba (0.0952, 0.2500, 0.0732)  7 O 2.60-2.90
Lu (0.0753, 0.7500, 0.3988)  7 O 2.22-2.30
Lu (0.2104, 0.2500, 0.6186)  7 O 2.19-2.29
Co (0.1621, 0.7500, 0.7870)  5 O 1.93-2.12
O (0.0655, 0.5080, 0.6686)  1 Co 1.93
O (0.1057, 0.7500, 0.0805)  1 Co 2.12, 2 Lu 2.19-2.22
O (0.2281, 0.0038, 0.3618)  1 Co 1.94

Magnetic moment in μB/cell: 4.18
Crystal system: orthorhombic
ΔE_f (raw) in meV/atom: -3164
E_tot in eV per atom: -25.242

No. 3
Density functional theory data (meta-GGA SCAN) for a crystal of GdLu3S6 relaxed with PBEsol.

Cell: 10.7145 3.8307 10.9913 Å, 90.00 109.01 90.00°
Closest atoms and distances in Å follow each position.
Space group P2_1/m (No. 11)
Unique sites:
Gd (0.0477, 0.2500, 0.1946)  8 S 2.79-2.93
Lu (0.1599, 0.2500, 0.5851)  6 S 2.57-2.69
Lu (0.3192, 0.7500, 0.9985)  7 S 2.61-2.83
Lu (0.4383, 0.2500, 0.3328)  6 S 2.59-2.68
S (0.0830, 0.7500, 0.4045)  3 Lu 2.64-2.69, 2 Gd 2.93
S (0.1165, 0.2500, 0.9642)  3 Gd 2.79-2.86, 2 Lu 2.83
S (0.1955, 0.7500, 0.7495)  3 Lu 2.57-2.62, 1 Gd 2.87
S (0.2610, 0.7500, 0.2264)  3 Lu 2.68-2.77, 2 Gd 2.91
S (0.3941, 0.2500, 0.5591)  4 Lu 2.62-2.68
S (0.4804, 0.2500, 0.1138)  4 Lu 2.59-2.80

Magnetic moment in μB/cell: 14.00
Crystal system: monoclinic
ΔE_f (raw) in meV/atom: -2338
E_tot in eV per atom: -30.600

No. 4
Density functional theory data (meta-GGA SCAN) for a crystal of AlPPt2 relaxed with PBEsol.

Cell: 5.9497 6.1478 3.1604 Å, 90.00 90.00 90.00°
Closest atoms and distances in Å follow each position.
Space group Cmmm (No. 65)
Unique sites:
Al (0.0000, 0.0000, 0.0000)  8 Pt 2.66, 2 P 2.97
P (0.0000, 0.5000, 0.0000)  8 Pt 2.66, 2 Al 2.97
Pt (0.2500, 0.2500, 0.5000)  4 Al 2.66, 4 P 2.66, 2 Pt 2.97

Magnetic moment in μB/cell: 0.00
Crystal system: orthorhombic
ΔE to the lowest computed polymorph in kJ/mol of formula units: 101
Energy of formation from the pure elements in eV per atom: -0.380
E_tot in eV per atom: -40.014

No. 5
Density functional theory data (meta-GGA SCAN) for a crystal of AsOs2Rh relaxed with PBEsol.

Cell: 2.9013 2.9013 6.6535 Å, 90.00 90.00 90.00°
Closest atoms and distances in Å follow each position.
Space group P4/mmm (No. 123)
Unique sites:
As (0.0000, 0.0000, 0.0000)  8 Os 2.54
Os (0.5000, 0.5000, 0.2260)  4 As 2.54, 4 Rh 2.74
Rh (0.0000, 0.0000, 0.5000)  8 Os 2.74, 4 Rh 2.90

Magnetic moment in μB/cell: 0.00
Crystal system: tetragonal
Energy of formation from the pure elements in eV per atom: 0.412
E_tot in eV per atom: -49.019

No. 6
Density functional theory data (meta-GGA SCAN) for a crystal of CdFe3Si relaxed with PBEsol.

Cell: 4.6316 4.6316 4.6316 Å, 90.00 90.00 90.00°
Closest atoms and distances in Å follow each position.
Space group Pm-3m (No. 221)
Unique sites:
Cd (0.0000, 0.0000, 0.0000)  6 Fe 2.32
Fe (0.0000, 0.0000, 0.5000)  2 Cd 2.32
Si (0.5000, 0.5000, 0.5000)  12 Fe 3.28

Magnetic moment in μB/cell: 9.42
Crystal system: cubic
ΔE_f (raw) in meV/atom: 1765
E_tot in eV per atom: -17.199

No. 7
Density functional theory data (meta-GGA SCAN) for a crystal of NaTlCd3 relaxed with PBEsol.

Cell: 5.5385 5.5385 5.5385 Å, 90.00 90.00 90.00°
Closest atoms and distances in Å follow each position.
Space group Pm-3m (No. 221)
Unique sites:
Na (0.0000, 0.0000, 0.0000)  12 Cd 3.92
Tl (0.5000, 0.5000, 0.5000)  6 Cd 2.77
Cd (0.0000, 0.5000, 0.5000)  2 Tl 2.77

Magnetic moment in μB/cell: 0.00
Crystal system: cubic
Energy of formation from the pure elements in eV per atom: 0.310
E_tot in eV per atom: -33.253

No. 8
Density functional theory data (meta-GGA SCAN) for a crystal of BiTe2IN relaxed with PBEsol.

Cell: 5.9180 5.9180 6.1388 Å, 90.00 90.00 90.00°
Closest atoms and distances in Å follow each position.
Space group P4/mmm (No. 123)
Unique sites:
Bi (0.0000, 0.0000, 0.0000)  4 Te 2.96, 2 I 3.07
Te (0.0000, 0.5000, 0.0000)  2 Bi 2.96
I (0.0000, 0.0000, 0.5000)  2 Bi 3.07
N (0.5000, 0.5000, 0.5000)  4 I 4.18, 8 Te 4.26

Magnetic moment in μB/cell: 4.94
Crystal system: tetragonal
ΔE_f (raw) in meV/atom: 1267
E_tot in eV per atom: -38.556

No. 9
Density functional theory data (meta-GGA SCAN) for a crystal of Be3Co relaxed with PBEsol.

Cell: 4.4772 6.4598 4.5004 Å, 90.00 90.00 90.00°
Closest atoms and distances in Å follow each position.
Space group Imma (No. 74)
Unique sites:
Be (0.0000, 0.2500, 0.0168)  4 Co 2.19-2.31, 8 Be 2.19-2.34
Be (0.2500, 0.0074, 0.2500)  8 Be 2.19-2.34, 4 Co 2.23-2.30
Co (0.0000, 0.2500, 0.5312)  12 Be 2.19-2.31

Magnetic moment in μB/cell: 0.97
Crystal system: orthorhombic
Energy of formation from the pure elements in eV per atom: -0.202
E_tot in eV per atom: -7.793

No. 10
Density functional theory data (meta-GGA SCAN) for a crystal of RbAlIrSe2 relaxed with PBEsol.

Cell: 5.5500 5.5500 5.4034 Å, 90.00 90.00 90.00°
Closest atoms and distances in Å follow each position.
Space group P4/mmm (No. 123)
Unique sites:
Rb (0.0000, 0.0000, 0.0000)  2 Al 2.70, 4 Se 2.78
Al (0.0000, 0.0000, 0.5000)  2 Rb 2.70
Ir (0.5000, 0.5000, 0.5000)  8 Se 3.87, 4 Al 3.92
Se (0.0000, 0.5000, 0.0000)  2 Rb 2.78

Magnetic moment in μB/cell: 4.82
Crystal system: tetragonal
ΔE_f (raw) in meV/atom: 2160
E_tot in eV per atom: -25.790

No. 11
Density functional theory data (meta-GGA SCAN) for a crystal of KNaCa2I relaxed with PBEsol.

Cell: 6.1596 6.1596 6.3332 Å, 90.00 90.00 90.00°
Closest atoms and distances in Å follow each position.
Space group P4/mmm (No. 123)
Unique sites:
K (0.0000, 0.0000, 0.0000)  4 Na 4.36, 8 Ca 4.42
Na (0.5000, 0.5000, 0.0000)  2 I 3.17
Ca (0.0000, 0.5000, 0.5000)  2 I 3.08
I (0.5000, 0.5000, 0.5000)  4 Ca 3.08, 2 Na 3.17

Magnetic moment in μB/cell: 0.20
Crystal system: tetragonal
ΔE_f (raw) in meV/atom: -137
E_tot in eV per atom: -13.860

No. 12
Density functional theory data (meta-GGA SCAN) for a crystal of PdN2ClF relaxed with PBEsol.

Cell: 3.4696 3.4696 5.0051 Å, 90.00 90.00 90.00°
Closest atoms and distances in Å follow each position.
Space group P4/mmm (No. 123)
Unique sites:
Pd (0.0000, 0.0000, 0.0000)  4 F 2.45
N (0.0000, 0.5000, 0.5000)  2 Cl 1.73
Cl (0.5000, 0.5000, 0.5000)  4 N 1.73
F (0.5000, 0.5000, 0.0000)  4 Pd 2.45, 2 Cl 2.50

Magnetic moment in μB/cell: 1.87
Crystal system: tetragonal
ΔE_f (raw) in meV/atom: 1955
E_tot in eV per atom: -10.620

No. 13
Density functional theory data (meta-GGA SCAN) for a crystal of Zn2GaP2 relaxed with PBEsol.

Cell: 3.9076 3.9076 11.0713 Å, 90.00 90.00 90.00°
Closest atoms and distances in Å follow each position.
Space group I4/mmm (No. 139)
Unique sites:
Zn (0.0000, 0.0000, 0.1080)  1 Zn 2.39, 4 P 2.51
Ga (0.0000, 0.0000, 0.5000)  8 Zn 3.01
P (0.0000, 0.5000, 0.2500)  4 Zn 2.51, 4 P 2.76

Magnetic moment in μB/cell: 0.00
Crystal system: tetragonal
Energy of formation from the pure elements in eV per atom: 0.303
E_tot in eV per atom: -12.532

No. 14
Density functional theory data (meta-GGA SCAN) for a crystal of BaNaTe2N relaxed with PBEsol.

Cell: 6.4748 6.4748 5.1803 Å, 90.00 90.00 90.00°
Closest atoms and distances in Å follow each position.
Space group P4/mmm (No. 123)
Unique sites:
Ba (0.0000, 0.0000, 0.0000)  2 N 2.59
Na (0.5000, 0.5000, 0.5000)  8 Te 4.15, 4 N 4.58
Te (0.0000, 0.5000, 0.0000)  2 Ba 3.24
N (0.0000, 0.0000, 0.5000)  2 Ba 2.59

Magnetic moment in μB/cell: 4.01
Crystal system: tetragonal
ΔE_f (raw) in meV/atom: 289
E_tot in eV per atom: -25.222

No. 15
Density functional theory data (meta-GGA SCAN) for a crystal of CaTe2Br relaxed with PBEsol.

Cell: 4.2969 4.2969 6.1315 Å, 90.00 90.00 90.00°
Closest atoms and distances in Å follow each position.
Space group P4/mmm (No. 123)
Unique sites:
Ca (0.0000, 0.0000, 0.0000)  4 Br 3.04
Te (0.0000, 0.5000, 0.5000)  4 Te 3.04
Br (0.5000, 0.5000, 0.0000)  4 Ca 3.04

Magnetic moment in μB/cell: 0.00
Crystal system: tetragonal
ΔE to the lowest computed polymorph in kJ/mol of formula units: 34
ΔE_f (raw) in meV/atom: -1092
E_tot in eV per atom: -26.998

No. 16
Density functional theory data (meta-GGA SCAN) for a crystal of ZrTaTe2 relaxed with PBEsol.

Cell: 6.8915 6.8915 6.8915 Å, 90.00 90.00 90.00°
Closest atoms and distances in Å follow each position.
Space group Fm-3m (No. 225)
Unique sites:
Zr (0.0000, 0.0000, 0.0000)  8 Te 2.98
Ta (0.0000, 0.0000, 0.5000)  8 Te 2.98
Te (0.2500, 0.2500, 0.2500)  4 Zr 2.98, 4 Ta 2.98

Magnetic moment in μB/cell: 0.00
Crystal system: cubic
ΔE to the lowest computed polymorph in kJ/mol of formula units: 0
ΔE_f (raw) in meV/atom: -287
E_tot in eV per atom: -43.234

No. 17
Density functional theory data (meta-GGA SCAN) for a crystal of CaSbAs3 relaxed with PBEsol.

Cell: 5.2154 5.2154 5.2154 Å, 90.00 90.00 90.00°
Closest atoms and distances in Å follow each position.
Space group Pm-3m (No. 221)
Unique sites:
Ca (0.0000, 0.0000, 0.0000)  12 As 3.69
Sb (0.5000, 0.5000, 0.5000)  6 As 2.61
As (0.0000, 0.5000, 0.5000)  2 Sb 2.61

Magnetic moment in μB/cell: 0.00
Crystal system: cubic
ΔE_f (raw) in meV/atom: 299
E_tot in eV per atom: -21.200

No. 18
Density functional theory data (meta-GGA SCAN) for a crystal of YCr3Os relaxed with PBEsol.

Cell: 4.6041 4.6041 4.6041 Å, 90.00 90.00 90.00°
Closest atoms and distances in Å follow each position.
Space group Pm-3m (No. 221)
Unique sites:
Y (0.0000, 0.0000, 0.0000)  12 Cr 3.26
Cr (0.0000, 0.5000, 0.5000)  2 Os 2.30
Os (0.5000, 0.5000, 0.5000)  6 Cr 2.30

Magnetic moment in μB/cell: 8.85
Crystal system: cubic
Energy of formation from the pure elements in eV per atom: 0.630
E_tot in eV per atom: -30.345

No. 19
Density functional theory data (meta-GGA SCAN) for a crystal of CrTc2Pt relaxed with PBEsol.

Cell: 5.3278 7.6812 2.6554 Å, 90.00 90.00 90.00°
Closest atoms and distances in Å follow each position.
Space group Cmmm (No. 65)
Unique sites:
Cr (0.0000, 0.0000, 0.0000)  2 Cr 2.66, 2 Pt 2.66, 8 Tc 2.69
Tc (0.2500, 0.2500, 0.5000)  4 Tc 2.66, 4 Cr 2.69, 4 Pt 2.69
Pt (0.0000, 0.5000, 0.0000)  2 Pt 2.66, 2 Cr 2.66, 8 Tc 2.69

Magnetic moment in μB/cell: 2.15
Crystal system: orthorhombic
ΔE to the lowest computed polymorph in kJ/mol of formula units: 0
Energy of formation from the pure elements in eV per atom: -0.103
E_tot in eV per atom: -39.778

No. 20
Density functional theory data (meta-GGA SCAN) for a crystal of PdS2NCl relaxed with PBEsol.

Cell: 4.8816 4.8816 3.6148 Å, 90.00 90.00 90.00°
Closest atoms and distances in Å follow each position.
Space group P4/mmm (No. 123)
Unique sites:
Pd (0.0000, 0.0000, 0.0000)  2 N 1.81
S (0.0000, 0.5000, 0.0000)  2 Pd 2.44
N (0.0000, 0.0000, 0.5000)  2 Pd 1.81
Cl (0.5000, 0.5000, 0.5000)  8 S 3.04

Magnetic moment in μB/cell: 3.12
Crystal system: tetragonal
ΔE_f (raw) in meV/atom: 1135
E_tot in eV per atom: -12.725